The following is a DFT calculation (PBE-GGA) of a relaxed structure of HoEr7Tm5.

a b c (Å): 6.589 8.561 8.561
angles (deg): 80.05 67.37 67.37
Fractional coordinates of all 13 atoms:
Er1 0.269 0.231 0.231
Er2 0.019 0.652 0.310
Tm1 0.536 0.003 0.459
Er3 0.519 0.153 0.809
Ho1 0.962 0.038 0.038
Er4 0.578 0.422 0.422
Er5 0.270 0.730 0.730
Tm2 0.768 0.732 0.732
Er6 0.019 0.310 0.652
Tm3 0.002 0.459 0.003
Er7 0.519 0.809 0.153
Tm4 0.002 0.003 0.459
Tm5 0.536 0.459 0.003

DFT formation energy = 263 meV/atom
M_tot = 0.000 μB/atom
Total DFT energy (no corrections) = -55.454 eV/f.u.

The following is a DFT calculation (PBE-GGA) of a relaxed structure of Ho3Er5Tm.

a b c (Å): 9.742 7.668 11.353
angles (deg): 112.27 90.00 129.44
Fractional coordinates of all 18 atoms:
Er1 0.143 0.665 0.916
Tm1 0.190 0.000 0.250
Er2 0.857 0.335 0.084
Tm2 0.810 0.000 0.750
Ho1 0.667 0.333 0.333
Er3 0.811 0.000 0.250
Ho2 0.333 0.667 0.667
Er4 0.523 0.665 0.416
Ho3 0.000 0.000 0.000
Er5 0.189 0.000 0.750
Ho4 0.000 0.000 0.500
Er6 0.477 0.335 0.584
Ho5 0.666 0.333 0.833
Ho6 0.334 0.667 0.167
Er7 0.145 0.668 0.417
Er8 0.855 0.332 0.583
Er9 0.523 0.668 0.917
Er10 0.477 0.332 0.083

DFT formation energy = 200 meV/atom
M_tot = 0.000 μB/atom
Total DFT energy (no corrections) = -39.220 eV/f.u.
Offset from the most stable computed form = 0 meV per atom

The following is a DFT calculation (PBE-GGA) of a relaxed structure of Ho2Er7Tm4.

a b c (Å): 5.973 5.973 13.081
angles (deg): 90.00 90.00 120.00
Fractional coordinates of all 13 atoms:
Er1 0.354 0.354 0.784
Tm1 0.000 0.000 0.394
Tm2 0.667 0.333 0.500
Er2 0.000 0.646 0.784
Er3 0.354 0.000 0.216
Er4 0.646 0.646 0.216
Er5 0.000 0.000 0.000
Tm3 0.000 0.000 0.606
Er6 0.646 0.000 0.784
Er7 0.000 0.354 0.216
Ho1 0.667 0.333 0.000
Ho2 0.333 0.667 0.000
Tm4 0.333 0.667 0.500

DFT formation energy = 188 meV/atom
M_tot = 0.000 μB/atom
Total DFT energy (no corrections) = -56.543 eV/f.u.

The following is a DFT calculation (PBE-GGA) of a relaxed structure of Ho4Er3Tm.

a b c (Å): 6.095 3.522 14.684
angles (deg): 53.14 78.00 89.95
Fractional coordinates of all 8 atoms:
Er1 0.000 0.500 0.000
Er2 0.791 0.123 0.751
Ho1 0.750 0.249 0.500
Er3 0.209 0.877 0.249
Ho2 0.250 0.751 0.500
Ho3 0.709 0.376 0.249
Ho4 0.291 0.624 0.751
Tm1 0.500 0.000 0.000

DFT formation energy = 6 meV/atom
M_tot = 0.000 μB/atom
Total DFT energy (no corrections) = -36.423 eV/f.u.
Offset from the most stable computed form = 7 meV per atom

The following is a DFT calculation (PBE-GGA) of a relaxed structure of HoEr6Tm12.

a b c (Å): 8.387 8.387 8.387
angles (deg): 88.10 88.10 88.10
Fractional coordinates of all 19 atoms:
Er1 0.255 0.090 0.687
Ho1 0.000 0.000 0.000
Tm1 0.788 0.645 0.992
Tm2 0.008 0.212 0.355
Tm3 0.212 0.355 0.008
Er2 0.910 0.313 0.745
Tm4 0.773 0.545 0.436
Tm5 0.645 0.992 0.788
Tm6 0.227 0.455 0.564
Er3 0.745 0.910 0.313
Er4 0.090 0.687 0.255
Tm7 0.564 0.227 0.455
Tm8 0.355 0.008 0.212
Tm9 0.545 0.436 0.773
Tm10 0.436 0.773 0.545
Er5 0.313 0.745 0.910
Er6 0.687 0.255 0.090
Tm11 0.992 0.788 0.645
Tm12 0.455 0.564 0.227

DFT formation energy = 166 meV/atom
M_tot = 0.001 μB/atom
Total DFT energy (no corrections) = -82.461 eV/f.u.
Offset from the most stable computed form = 0 meV per atom

The following is a DFT calculation (PBE-GGA) of a relaxed structure of HoEr7Tm12.

a b c (Å): 8.538 8.538 8.538
angles (deg): 95.10 95.10 95.10
Fractional coordinates of all 20 atoms:
Er1 0.083 0.352 0.020
Tm1 0.480 0.148 0.417
Tm2 0.583 0.520 0.852
Tm3 0.250 0.686 0.813
Tm4 0.813 0.250 0.686
Ho1 0.000 0.000 0.000
Tm5 0.187 0.750 0.314
Er2 0.980 0.917 0.648
Tm6 0.417 0.480 0.148
Tm7 0.520 0.852 0.583
Tm8 0.750 0.314 0.187
Tm9 0.314 0.187 0.750
Tm10 0.148 0.417 0.480
Er3 0.352 0.020 0.083
Er4 0.020 0.083 0.352
Er5 0.648 0.980 0.917
Tm11 0.852 0.583 0.520
Er6 0.500 0.500 0.500
Tm12 0.686 0.813 0.250
Er7 0.917 0.648 0.980

DFT formation energy = 318 meV/atom
M_tot = 0.000 μB/atom
Total DFT energy (no corrections) = -83.813 eV/f.u.
Offset from the most stable computed form = 0 meV per atom

Question: Number 2 is which compound?
Answer: Ho3Er5Tm

Question: The highest M_tot belongs to which entry?
Answer: HoEr6Tm12

Copy entry 2 word for word.
The following is a DFT calculation (PBE-GGA) of a relaxed structure of Ho3Er5Tm.

a b c (Å): 9.742 7.668 11.353
angles (deg): 112.27 90.00 129.44
Fractional coordinates of all 18 atoms:
Er1 0.143 0.665 0.916
Tm1 0.190 0.000 0.250
Er2 0.857 0.335 0.084
Tm2 0.810 0.000 0.750
Ho1 0.667 0.333 0.333
Er3 0.811 0.000 0.250
Ho2 0.333 0.667 0.667
Er4 0.523 0.665 0.416
Ho3 0.000 0.000 0.000
Er5 0.189 0.000 0.750
Ho4 0.000 0.000 0.500
Er6 0.477 0.335 0.584
Ho5 0.666 0.333 0.833
Ho6 0.334 0.667 0.167
Er7 0.145 0.668 0.417
Er8 0.855 0.332 0.583
Er9 0.523 0.668 0.917
Er10 0.477 0.332 0.083

DFT formation energy = 200 meV/atom
M_tot = 0.000 μB/atom
Total DFT energy (no corrections) = -39.220 eV/f.u.
Offset from the most stable computed form = 0 meV per atom